Entry from Alexandria via LeMat-Bulk: a geometry-optimized Pm2HfZrPt2 structure (PBE-GGA).

Cell lengths 6.631, 6.627, 8.283 Å; angles 113.58, 113.59, 90.00 degrees
Fractional positions:
Pm (0.556, 0.812, 0.624)
Pm (0.444, 0.188, 0.376)
Pm (0.932, 0.688, 0.376)
Pm (0.068, 0.312, 0.624)
Pt (0.645, 0.400, 0.800)
Pt (0.845, 0.100, 0.200)
Pt (0.355, 0.600, 0.200)
Pt (0.155, 0.900, 0.800)
Zr (0.000, 0.750, 0.000)
Zr (0.000, 0.250, 0.000)
Hf (0.500, 0.250, 0.000)
Hf (0.500, 0.750, 0.000)

Output
* space-group type: Ibam (72)
* DFT formation energy: -0.83 eV per atom
* V: 300.07 Å³ per cell